Entry 1:
## LaPmSiPb (PBE)

Data for LaPmSiPb after structural relaxation.

Formation energy (no corrections) in meV/atom: -367.1

a b c (Å): 5.418 5.418 5.418
angles (deg): 60.00 60.00 60.00
Fractional coordinates of all 4 atoms:
Pm1 0.000 0.000 0.000
Si1 0.750 0.750 0.750
La1 0.500 0.500 0.500
Pb1 0.250 0.250 0.250



Entry 2:
## Sm3DyAg3 (PBE)

Data for Sm3DyAg3 after structural relaxation.

Energy of formation from the pure elements in eV per atom: -0.13

a b c (Å): 7.389 7.389 7.120
angles (deg): 90.89 90.89 94.36
Fractional coordinates of all 14 atoms:
Ag1 0.069 0.069 0.820
Ag2 0.487 0.995 0.729
Ag3 0.513 0.005 0.271
Ag4 0.005 0.513 0.271
Ag5 0.931 0.931 0.180
Ag6 0.995 0.487 0.729
Sm1 0.821 0.179 0.500
Sm2 0.733 0.267 0.000
Sm3 0.267 0.733 0.000
Sm4 0.636 0.636 0.363
Sm5 0.179 0.821 0.500
Sm6 0.364 0.364 0.637
Dy1 0.745 0.745 0.861
Dy2 0.255 0.255 0.139



Entry 3:
## La3Tb6In (PBE)

Data for La3Tb6In after structural relaxation.

Energy of formation from the pure elements in eV per atom: 0.05

a b c (Å): 6.392 10.317 10.317
angles (deg): 99.12 90.00 90.00
Fractional coordinates of all 20 atoms:
Tb1 0.406 0.015 0.404
Tb2 0.100 0.674 0.562
Tb3 0.592 0.249 0.751
Tb4 0.906 0.985 0.596
Tb5 0.100 0.438 0.326
Tb6 0.600 0.562 0.674
Tb7 0.757 0.048 0.952
Tb8 0.257 0.952 0.048
Tb9 0.906 0.404 0.015
Tb10 0.600 0.326 0.438
Tb11 0.092 0.751 0.249
Tb12 0.406 0.596 0.985
La1 0.434 0.887 0.713
La2 0.934 0.113 0.287
La3 0.434 0.287 0.113
La4 0.934 0.713 0.887
La5 0.597 0.643 0.357
La6 0.097 0.357 0.643
In1 0.159 0.153 0.847
In2 0.659 0.847 0.153



Entry 4:
## LaBi3S (PBE)

Data for LaBi3S after structural relaxation.

Formation energy (no corrections) in meV/atom: -179.3
Energy above the lowest structure with this stoichiometry in meV/atom: 0

a b c (Å): 5.432 5.432 5.432
angles (deg): 90.00 90.00 90.00
Fractional coordinates of all 5 atoms:
Bi1 0.500 0.000 0.000
Bi2 0.000 0.000 0.500
Bi3 0.000 0.500 0.000
S1 0.000 0.000 0.000
La1 0.500 0.500 0.500



Number 1: calculated total energy -5.069 eV/atom, DOS at the Fermi energy 5.54 states/eV per cell. Number 2: calculated total energy -4.027 eV/atom, DOS at the Fermi energy 12.19 states/eV per cell. Number 3: calculated total energy -4.484 eV/atom, DOS at the Fermi energy 26.00 states/eV per cell. Number 4: calculated total energy -4.319 eV/atom, DOS at the Fermi energy 2.69 states/eV per cell.